DFT (PBE) results for LaPrZr after structural relaxation.

Values from the calculation:
**Distance to the lowest polymorph of the same formula**: 0.035 eV per atom
**Space-group type**: I4mm

Lattice parameters (Å, degrees): 3.455 3.455 8.180 102.19 102.19 90.00
Sites, in units of the cell vectors:
Pr1 0.987 0.987 0.973
Zr1 0.334 0.334 0.668
La1 0.679 0.679 0.358

***

DFT (PBE) results for La6Pt7 after structural relaxation.

Values from the calculation:
**Space-group type**: R-3m

Lattice parameters (Å, degrees): 10.951 10.951 10.951 30.19 30.19 30.19
Sites, in units of the cell vectors:
La1 0.056 0.056 0.056
La2 0.944 0.944 0.944
La3 0.332 0.332 0.332
La4 0.159 0.159 0.159
La5 0.668 0.668 0.668
La6 0.841 0.841 0.841
Pt1 0.903 0.410 0.410
Pt2 0.590 0.097 0.590
Pt3 0.097 0.590 0.590
Pt4 0.590 0.590 0.097
Pt5 0.410 0.903 0.410
Pt6 0.500 0.500 0.500
Pt7 0.410 0.410 0.903

***

DFT (PBE) results for La2Pt after structural relaxation.

Values from the calculation:
**Space-group type**: Pa-3

Lattice parameters (Å, degrees): 7.285 7.285 7.285 90.00 90.00 90.00
Sites, in units of the cell vectors:
La1 0.667 0.833 0.167
La2 0.333 0.333 0.333
La3 0.333 0.167 0.833
La4 0.833 0.167 0.667
La5 0.667 0.667 0.667
La6 0.833 0.333 0.167
La7 0.167 0.667 0.833
La8 0.167 0.833 0.333
Pt1 0.000 0.000 0.000
Pt2 0.500 0.000 0.500
Pt3 0.000 0.500 0.500
Pt4 0.500 0.500 0.000

***

DFT (PBE) results for La3Pt after structural relaxation.

Values from the calculation:
**Space-group type**: P2/m

Lattice parameters (Å, degrees): 4.511 4.271 7.104 90.00 67.18 90.00
Sites, in units of the cell vectors:
La1 0.563 0.000 0.544
La2 0.250 0.500 0.250
La3 0.937 0.000 0.956
Pt1 0.750 0.500 0.750

***

DFT (PBE) results for La3Pt after structural relaxation.

Values from the calculation:
**Space-group type**: Pm-3m

Lattice parameters (Å, degrees): 5.783 5.783 5.783 90.00 90.00 90.00
Sites, in units of the cell vectors:
La1 0.500 0.000 0.000
La2 0.000 0.500 0.000
La3 0.000 0.000 0.500
Pt1 0.000 0.000 0.000

***

DFT (PBE) results for LaPt after structural relaxation.

Values from the calculation:
**Space-group type**: Pm-3n

Lattice parameters (Å, degrees): 8.079 8.079 8.079 90.00 90.00 90.00
Site moments in Bohr magnetons follow the coordinates.
Sites, in units of the cell vectors:
Pt1 0.500 0.750 0.000  0.04
Pt2 0.000 0.500 0.250  0.04
Pt3 0.500 0.250 0.000  0.04
Pt4 0.250 0.000 0.500  0.04
Pt5 0.000 0.500 0.750  0.04
Pt6 0.750 0.000 0.500  0.04
La1 0.000 0.750 0.500  0.14
La2 0.750 0.500 0.000  0.14
La3 0.250 0.500 0.000  0.14
La4 0.500 0.000 0.750  0.14
La5 0.500 0.000 0.250  0.14
La6 0.000 0.250 0.500  0.14

***

DFT (PBE) results for La3Pt after structural relaxation.

Values from the calculation:
**Space-group type**: Pnma

Lattice parameters (Å, degrees): 7.360 10.320 6.748 90.00 90.00 90.00
Sites, in units of the cell vectors:
La1 0.674 0.438 0.170
La2 0.027 0.250 0.853
La3 0.326 0.562 0.830
La4 0.527 0.250 0.647
La5 0.326 0.938 0.830
La6 0.473 0.750 0.353
La7 0.826 0.938 0.670
La8 0.174 0.438 0.330
La9 0.174 0.062 0.330
La10 0.674 0.062 0.170
La11 0.826 0.562 0.670
La12 0.973 0.750 0.147
Pt1 0.123 0.750 0.572
Pt2 0.877 0.250 0.428
Pt3 0.377 0.250 0.072
Pt4 0.623 0.750 0.928

***

DFT (PBE) results for La3Pt after structural relaxation.

Values from the calculation:
**Space-group type**: P6_3/mmc

Lattice parameters (Å, degrees): 7.240 7.240 10.030 90.00 90.00 60.00
Sites, in units of the cell vectors:
Pt1 0.667 0.667 0.250
Pt2 0.333 0.333 0.750
Pt3 0.000 0.000 0.000
Pt4 0.000 0.000 0.500
La1 0.500 0.000 0.500
La2 0.850 0.300 0.750
La3 0.150 0.700 0.250
La4 0.150 0.150 0.250
La5 0.500 0.500 0.500
La6 0.850 0.850 0.750
La7 0.500 0.000 0.000
La8 0.500 0.500 0.000
La9 0.000 0.500 0.000
La10 0.700 0.150 0.250
La11 0.000 0.500 0.500
La12 0.300 0.850 0.750

***

DFT (PBE) results for La2Pt3 after structural relaxation.

Values from the calculation:
**Space-group type**: Immm

Lattice parameters (Å, degrees): 4.166 5.719 5.719 73.09 68.64 68.64
Sites, in units of the cell vectors:
La1 0.226 0.274 0.274
La2 0.774 0.726 0.726
Pt1 0.000 0.000 0.000
Pt2 0.500 0.298 0.702
Pt3 0.500 0.702 0.298

***

DFT (PBE) results for La2Pt after structural relaxation.

Values from the calculation:
**Space-group type**: P-3m1

Lattice parameters (Å, degrees): 4.752 4.752 4.348 90.00 90.00 120.00
Sites, in units of the cell vectors:
La1 0.667 0.333 0.286
La2 0.333 0.667 0.714
Pt1 0.000 0.000 0.000

***

DFT (PBE) results for La2Pt after structural relaxation.

Values from the calculation:
**Space-group type**: I4/mcm

Lattice parameters (Å, degrees): 6.803 6.123 6.123 107.98 123.75 56.25
Sites, in units of the cell vectors:
La1 0.316 0.500 0.132
La2 0.816 0.868 0.500
La3 0.184 0.132 0.500
La4 0.684 0.500 0.868
Pt1 0.750 0.000 0.000
Pt2 0.250 0.000 0.000

***

DFT (PBE) results for LaPt2 after structural relaxation.

Values from the calculation:
**Space-group type**: P-62m

Lattice parameters (Å, degrees): 7.366 7.366 4.815 90.00 90.00 120.00
Sites, in units of the cell vectors:
La1 0.000 0.000 0.500
La2 0.667 0.333 0.000
La3 0.333 0.667 0.000
Pt1 0.594 0.594 0.500
Pt2 0.406 0.000 0.500
Pt3 0.234 0.000 0.000
Pt4 0.000 0.406 0.500
Pt5 0.766 0.766 0.000
Pt6 0.000 0.234 0.000

***

| no. | total energy (eV/cell) | ΔE_f (meV per atom) |
| --- | --- | --- |
| 1 | -17.9 | 131 |
| 2 | -83.0 | -857 |
| 3 | -72.9 | -780 |
| 4 | -22.6 | -448 |
| 5 | -21.4 | -145 |
| 6 | -71.3 | -455 |
| 7 | -93.7 | -649 |
| 8 | -88.9 | -353 |
| 9 | -33.5 | -1112 |
| 10 | -17.9 | -672 |
| 11 | -36.4 | -768 |
| 12 | -57.0 | -663 |